AlCuW2: optimized geometry, PBE-GGA.

Summary:
magnetic moment	0.0	Bohr magnetons per cell
density	12.791	Mg/m³
ΔE_f	0.52	eV per formula unit
total DFT energy (no corrections)	-8.307	eV/atom
space group	C2/m

Geometry as POSCAR:
```
AlCuW2
1.0
5.4743 0.0047 0.0156
-2.3230 4.4381 -0.0087
0.8282 0.7372 2.4493
Cu W Al
1 2 1
direct
0.5000 0.5000 0.0000
0.0000 0.0000 0.0000
0.5000 0.0000 0.5000
0.0000 0.5000 0.5000
```